Entry 1:
NbFePb3 | PBE | relaxed

Results
**N(E_F)**: 16.89 states/eV/cell
**Final energy**: -0.3580 Ry per atom
**Spin magnetization**: 4.4 μB per cell
**Crystal system**: cubic
**Energy relative to the elements**: 102 kJ/mol of atoms

Lattice parameters (Å, degrees): 5.504 5.504 5.504 90.00 90.00 90.00
Fractional coordinates of all 5 atoms:
Nb: 0.000 0.000 0.000
Fe: 0.500 0.500 0.500
Pb: 0.000 0.000 0.500
Pb: 0.000 0.500 0.000
Pb: 0.500 0.000 0.000

***

Entry 2:
Nb2FePb | PBE | relaxed

Results
**N(E_F)**: 4.72 states/eV/cell
**Final energy**: -0.5573 Ry per atom
**Spin magnetization**: 0.0 μB per cell
**Crystal system**: tetragonal
**Energy relative to the elements**: 48 kJ/mol of atoms

Lattice parameters (Å, degrees): 5.933 5.933 5.933 102.86 102.86 123.71
Fractional coordinates of all 8 atoms:
Nb: 0.058 0.625 0.933
Nb: 0.375 0.308 0.433
Nb: 0.692 0.125 0.067
Nb: 0.875 0.942 0.567
Fe: 0.000 0.000 0.000
Fe: 0.750 0.250 0.500
Pb: 0.250 0.750 0.500
Pb: 0.500 0.500 0.000

***

Entry 3:
NbFe2Pb2 | PBE | relaxed

Results
**N(E_F)**: 4.83 states/eV/cell
**Final energy**: -0.4613 Ry per atom
**Spin magnetization**: 4.9 μB per cell
**Crystal system**: tetragonal
**Energy relative to the elements**: 58 kJ/mol of atoms

Lattice parameters (Å, degrees): 9.130 9.130 9.130 158.99 158.99 29.89
Fractional coordinates of all 5 atoms:
Nb: 0.000 0.000 0.000
Fe: 0.250 0.750 0.500
Fe: 0.750 0.250 0.500
Pb: 0.384 0.384 0.000
Pb: 0.616 0.616 0.000

***

Entry 4:
NbFe2PdPb | PBE | relaxed

Results
**N(E_F)**: 5.83 states/eV/cell
**Final energy**: -0.4535 Ry per atom
**Spin magnetization**: 6.2 μB per cell
**Crystal system**: tetragonal
**Energy relative to the elements**: 97 kJ/mol of atoms

Lattice parameters (Å, degrees): 4.683 4.683 4.892 90.00 90.00 90.00
Fractional coordinates of all 5 atoms:
Nb: 0.000 0.000 0.000
Fe: 0.000 0.500 0.500
Fe: 0.500 0.000 0.500
Pd: 0.000 0.000 0.500
Pb: 0.500 0.500 0.000

***

Entry 5:
NbFeRu2Pb | PBE | relaxed

Results
**N(E_F)**: 11.02 states/eV/cell
**Final energy**: -0.3999 Ry per atom
**Spin magnetization**: 0.8 μB per cell
**Crystal system**: tetragonal
**Energy relative to the elements**: 262 kJ/mol of atoms

Lattice parameters (Å, degrees): 4.864 4.864 5.116 90.00 90.00 90.00
Fractional coordinates of all 5 atoms:
Nb: 0.000 0.000 0.000
Fe: 0.500 0.500 0.000
Ru: 0.000 0.500 0.500
Ru: 0.500 0.000 0.500
Pb: 0.000 0.000 0.500

***

Entry 6:
NbFe2PbSe | PBE | relaxed

Results
**N(E_F)**: 19.44 states/eV/cell
**E_form (uncorrected)**: 1052 kJ/mol of formula units
**Final energy**: -0.3423 Ry per atom
**Spin magnetization**: 0.8 μB per cell
**Crystal system**: tetragonal

Lattice parameters (Å, degrees): 4.689 4.689 5.326 90.00 90.00 90.00
Fractional coordinates of all 5 atoms:
Nb: 0.000 0.000 0.000
Fe: 0.000 0.500 0.500
Fe: 0.500 0.000 0.500
Pb: 0.500 0.500 0.500
Se: 0.500 0.500 0.000

***

Entry 7:
NbFePd14 | PBE | relaxed

Results
**N(E_F)**: 21.75 states/eV/cell
**Final energy**: -0.4305 Ry per atom
**Spin magnetization**: 4.4 μB per cell
**Crystal system**: tetragonal
**Energy relative to the elements**: -15 kJ/mol of atoms

Lattice parameters (Å, degrees): 5.615 5.615 7.776 90.00 90.00 90.00
Fractional coordinates of all 16 atoms:
Nb: 0.000 0.000 0.000
Fe: 0.500 0.500 0.000
Pd: 0.000 0.000 0.500
Pd: 0.000 0.500 0.000
Pd: 0.000 0.500 0.500
Pd: 0.250 0.250 0.243
Pd: 0.250 0.250 0.757
Pd: 0.250 0.750 0.243
Pd: 0.250 0.750 0.757
Pd: 0.500 0.000 0.000
Pd: 0.500 0.000 0.500
Pd: 0.500 0.500 0.500
Pd: 0.750 0.250 0.243
Pd: 0.750 0.250 0.757
Pd: 0.750 0.750 0.243
Pd: 0.750 0.750 0.757

***

Entry 8:
NbFePd3 | PBE | relaxed

Results
**N(E_F)**: 6.97 states/eV/cell
**Final energy**: -0.4112 Ry per atom
**Spin magnetization**: 3.1 μB per cell
**Crystal system**: cubic
**Energy relative to the elements**: 118 kJ/mol of atoms

Lattice parameters (Å, degrees): 4.798 4.798 4.798 90.00 90.00 90.00
Fractional coordinates of all 5 atoms:
Nb: 0.000 0.000 0.000
Fe: 0.500 0.500 0.500
Pd: 0.000 0.000 0.500
Pd: 0.000 0.500 0.000
Pd: 0.500 0.000 0.000